[1]
The following is a DFT calculation (GGA-PBE) of an optimized crystal structure of CrRe2Pt.

Calculated values
The value obtained for the energy above the most stable polymorph in this dataset is 12.32 kJ per mole of atoms. Its formation energy is 0.07 eV/atom. The crystal system is trigonal.

Unit cell a=2.744 b=2.744 c=26.559 alpha=90.00 beta=90.00 gamma=120.00
Fractional coordinates of all 12 atoms:
Cr (0.000, 0.000, 0.000)
Cr (0.333, 0.667, 0.667)
Cr (0.667, 0.333, 0.333)
Re (0.000, 0.000, 0.255)
Re (0.000, 0.000, 0.745)
Re (0.333, 0.667, 0.412)
Re (0.333, 0.667, 0.922)
Re (0.667, 0.333, 0.078)
Re (0.667, 0.333, 0.588)
Pt (0.000, 0.000, 0.500)
Pt (0.333, 0.667, 0.167)
Pt (0.667, 0.333, 0.833)

***

[2]
The following is a DFT calculation (GGA-PBE) of an optimized crystal structure of CrRe2Pt.

Calculated values
The value obtained for the energy above the most stable polymorph in this dataset is 19.58 kJ per mole of atoms. Its formation energy is 0.15 eV/atom. The crystal system is tetragonal.

Unit cell a=3.229 b=3.229 c=5.625 alpha=90.00 beta=90.00 gamma=90.00
Fractional coordinates of all 4 atoms:
Cr (0.000, 0.000, 0.000)
Re (0.000, 0.000, 0.499)
Re (0.500, 0.500, 0.745)
Pt (0.500, 0.500, 0.220)

***

[3]
The following is a DFT calculation (GGA-PBE) of an optimized crystal structure of CrRe2Pt.

Calculated values
The value obtained for the energy above the most stable polymorph in this dataset is 4.15 kJ per mole of atoms. Its formation energy is -0.01 eV/atom. The crystal system is tetragonal.

Unit cell a=3.837 b=3.837 c=7.786 alpha=90.00 beta=90.00 gamma=90.00
Fractional coordinates of all 8 atoms:
Cr (0.000, 0.000, 0.000)
Cr (0.500, 0.500, 0.500)
Re (0.000, 0.500, 0.250)
Re (0.000, 0.500, 0.750)
Re (0.500, 0.000, 0.250)
Re (0.500, 0.000, 0.750)
Pt (0.000, 0.000, 0.500)
Pt (0.500, 0.500, 0.000)

***

[4]
The following is a DFT calculation (GGA-PBE) of an optimized crystal structure of CrRePt2.

Calculated values
The value obtained for the energy above the most stable polymorph in this dataset is 12.70 kJ per mole of atoms. Its formation energy is 0.02 eV/atom. The crystal system is trigonal.

Unit cell a=2.750 b=2.750 c=26.724 alpha=90.00 beta=90.00 gamma=120.00
Fractional coordinates of all 12 atoms:
Cr (0.000, 0.000, 0.000)
Cr (0.333, 0.667, 0.667)
Cr (0.667, 0.333, 0.333)
Re (0.000, 0.000, 0.500)
Re (0.333, 0.667, 0.167)
Re (0.667, 0.333, 0.833)
Pt (0.000, 0.000, 0.252)
Pt (0.000, 0.000, 0.748)
Pt (0.333, 0.667, 0.414)
Pt (0.333, 0.667, 0.919)
Pt (0.667, 0.333, 0.081)
Pt (0.667, 0.333, 0.586)

***

[5]
The following is a DFT calculation (GGA-PBE) of an optimized crystal structure of CrRePt2.

Calculated values
The value obtained for the energy above the most stable polymorph in this dataset is 8.67 kJ per mole of atoms. Its formation energy is -0.02 eV/atom. The crystal system is trigonal.

Unit cell a=2.738 b=2.738 c=27.035 alpha=90.00 beta=90.00 gamma=120.00
Fractional coordinates of all 12 atoms:
Cr (0.000, 0.000, 0.000)
Cr (0.333, 0.667, 0.667)
Cr (0.667, 0.333, 0.333)
Re (0.000, 0.000, 0.255)
Re (0.333, 0.667, 0.921)
Re (0.667, 0.333, 0.588)
Pt (0.000, 0.000, 0.503)
Pt (0.000, 0.000, 0.745)
Pt (0.333, 0.667, 0.169)
Pt (0.333, 0.667, 0.412)
Pt (0.667, 0.333, 0.079)
Pt (0.667, 0.333, 0.836)

***

[6]
The following is a DFT calculation (GGA-PBE) of an optimized crystal structure of CrRePt2.

Calculated values
The value obtained for the energy above the most stable polymorph in this dataset is 1.42 kJ per mole of atoms. Its formation energy is -0.09 eV/atom. The crystal system is monoclinic.

Unit cell a=9.135 b=2.729 c=4.801 alpha=90.00 beta=100.53 gamma=90.00
Fractional coordinates of all 8 atoms:
Cr (0.000, 0.000, 0.000)
Cr (0.500, 0.500, 0.000)
Re (0.238, 0.500, 0.255)
Re (0.738, 0.000, 0.255)
Pt (0.252, 0.000, 0.766)
Pt (0.491, 0.000, 0.486)
Pt (0.752, 0.500, 0.766)
Pt (0.991, 0.500, 0.486)